DFT (PBE+U) results for an optimized crystal structure of Cs2Al3CrF12. Values from VASP.

Cell and atoms, written as Quantum ESPRESSO input:
```
&SYSTEM
  ibrav = 0, nat = 18, ntyp = 4
/
ATOMIC_SPECIES
Cs 132.91 Cs.upf
F 19.00 F.upf
Cr 52.00 Cr.upf
Al 26.98 Al.upf
CELL_PARAMETERS angstrom
-6.6991 -2.5306 -2.2009
-0.8781 -4.8774 -5.6184
-2.2380 -7.0728 1.0450
ATOMIC_POSITIONS crystal
Cs 0.3786 0.3786 0.3786
Cs 0.6214 0.6214 0.6214
F 0.2929 0.9184 0.2929
F 0.6004 0.0923 0.0923
F 0.2929 0.2929 0.9184
F 0.9077 0.3996 0.9077
F 0.9077 0.9077 0.3996
F 0.3996 0.9077 0.9077
F 0.7071 0.7071 0.0816
F 0.9184 0.2929 0.2929
F 0.0923 0.6004 0.0923
F 0.0816 0.7071 0.7071
F 0.0923 0.0923 0.6004
F 0.7071 0.0816 0.7071
Cr 0.0000 0.0000 0.0000
Al 0.5000 0.0000 0.0000
Al 0.0000 0.0000 0.5000
Al 0.0000 0.5000 0.0000
```

Output
The magnetization comes out at 5.00 Bohr magnetons per cell. The value obtained for the total energy is -5.573 eV/atom.